P | A geometry-optimized DyMg2Pd3 structure. Source: Alexandria, functional PBE.

a = 4.716 Å, b = 14.128 Å, c = 6.525 Å
α = 90.00°, β = 90.00°, γ = 90.00°
Space group Cmmm (No. 65)
Inequivalent atoms, fractional coordinates:
Dy: 0.000 0.161 0.000 [4 per cell]
Mg: 0.000 0.171 0.500 [4 per cell]
Mg: 0.000 0.500 0.000 [2 per cell]
Mg: 0.000 0.500 0.500 [2 per cell]
Pd: 0.000 0.000 0.273 [4 per cell]
Pd: 0.000 0.336 0.263 [8 per cell]

Properties
DOS(E_F) in states/eV per atom: 0.47
Total moment in Bohr magnetons per cell: 0.00

***

Q | A geometry-optimized DyMg2Pd3 structure. Source: Alexandria, functional PBE.

a = 3.309 Å, b = 3.309 Å, c = 9.885 Å
α = 90.00°, β = 90.00°, γ = 90.00°
Space group P4/mmm (No. 123)
Inequivalent atoms, fractional coordinates:
Dy: 0.000 0.000 0.000 [1 per cell]
Mg: 0.000 0.000 0.344 [2 per cell]
Pd: 0.500 0.500 0.186 [2 per cell]
Pd: 0.500 0.500 0.500 [1 per cell]

Properties
DOS(E_F) in states/eV per atom: 0.35
Total moment in Bohr magnetons per cell: 0.00

***

Short version: P, Q, most stable first.

***

P | A geometry-optimized Pm3Dy4Mg structure. Source: Alexandria, functional PBE.

a = 3.531 Å, b = 11.613 Å, c = 12.656 Å
α = 90.00°, β = 90.00°, γ = 90.00°
Space group Immm (No. 71)
Inequivalent atoms, fractional coordinates:
Pm: 0.000 0.000 0.000 [2 per cell]
Pm: 0.000 0.500 0.234 [4 per cell]
Dy: 0.000 0.245 0.366 [8 per cell]
Mg: 0.000 0.000 0.500 [2 per cell]

Properties
DOS(E_F) in states/eV per atom: 1.36
Total moment in Bohr magnetons per cell: 0.00

***

Q | A geometry-optimized Pm3Dy4Mg structure. Source: Alexandria, functional PBE.

a = 11.349 Å, b = 7.175 Å, c = 6.241 Å
α = 90.00°, β = 90.00°, γ = 90.00°
Space group Pmn2_1 (No. 31)
Inequivalent atoms, fractional coordinates:
Pm: 0.000 0.129 0.000 [2 per cell]
Pm: 0.242 0.122 0.654 [4 per cell]
Dy: 0.000 0.383 0.472 [2 per cell]
Dy: 0.000 0.626 0.988 [2 per cell]
Dy: 0.244 0.625 0.647 [4 per cell]
Mg: 0.000 0.871 0.487 [2 per cell]

Properties
DOS(E_F) in states/eV per atom: 1.35
Total moment in Bohr magnetons per cell: 0.00

***

Short version: Q, P, most stable first.